The following is a PBE-GGA calculation of CePrP2 after structural relaxation, from the Alexandria database.

a b c (Å): 4.1238 4.1238 13.5995
angles (deg): 90.00 90.00 120.00
Fractional positions:
P (0.6667, 0.3333, 0.8818)
P (0.3333, 0.6667, 0.3818)
P (0.3333, 0.6667, 0.1182)
P (0.6667, 0.3333, 0.6182)
Pr (0.6667, 0.3333, 0.2500)
Pr (0.3333, 0.6667, 0.7500)
Ce (0.0000, 0.0000, 0.5000)
Ce (0.0000, 0.0000, 0.0000)

Calculated values
E above lowest polymorph = 35.6 meV/atom
symmetry = P6_3/mmc, No. 194
E = -54.91 eV/cell
crystal system = hexagonal
ΔH_f (0 K) = -1.48 eV/atom

=====

The following is a PBE-GGA calculation of Ce2Pr2P5 after structural relaxation, from the Alexandria database.

a b c (Å): 7.7811 8.0292 8.0292
angles (deg): 122.47 90.00 90.00
Fractional positions:
Pr (0.1587, 0.6556, 0.6556)
Pr (0.6587, 0.8444, 0.8444)
Pr (0.3413, 0.1556, 0.1556)
Pr (0.8413, 0.3444, 0.3444)
P (0.5000, 0.5000, 0.5000)
P (0.8448, 0.5137, 0.8037)
P (0.3448, 0.6963, 0.9863)
P (0.1552, 0.4863, 0.1963)
P (0.6552, 0.0137, 0.3037)
P (0.3448, 0.9863, 0.6963)
P (0.1552, 0.1963, 0.4863)
P (0.6552, 0.3037, 0.0137)
P (0.8448, 0.8037, 0.5137)
P (0.0000, 0.0000, 0.0000)
Ce (0.5000, 0.6964, 0.3036)
Ce (0.0000, 0.8036, 0.1964)
Ce (0.5000, 0.3036, 0.6964)
Ce (0.0000, 0.1964, 0.8036)

Calculated values
symmetry = Cmce, No. 64
E = -118.57 eV/cell
crystal system = orthorhombic
ΔH_f (0 K) = -1.20 eV/atom

=====

The following is a PBE-GGA calculation of Ce3Pr5P8 after structural relaxation, from the Alexandria database.

a b c (Å): 8.3154 8.3154 8.3188
angles (deg): 60.01 60.01 60.00
Fractional positions:
P (0.2500, 0.7576, 0.7424)
P (0.7500, 0.2424, 0.2576)
P (0.2500, 0.2500, 0.7424)
P (0.7500, 0.7500, 0.2576)
P (0.7532, 0.7532, 0.7403)
P (0.2424, 0.7500, 0.2576)
P (0.7576, 0.2500, 0.7424)
P (0.2468, 0.2468, 0.2597)
Ce (0.0000, 0.0000, 0.5000)
Ce (0.5000, 0.0000, 0.5000)
Ce (0.0000, 0.5000, 0.5000)
Pr (0.0000, 0.5000, 0.0000)
Pr (0.5000, 0.5000, 0.0000)
Pr (0.5000, 0.5000, 0.5000)
Pr (0.5000, 0.0000, 0.0000)
Pr (0.0000, 0.0000, 0.0000)

Calculated values
symmetry = R-3m, No. 166
E = -109.25 eV/cell
crystal system = trigonal
ΔH_f (0 K) = -1.52 eV/atom

=====

The following is a PBE-GGA calculation of CePrP after structural relaxation, from the Alexandria database.

a b c (Å): 5.5551 6.7045 6.7045
angles (deg): 128.82 90.00 90.00
Fractional positions:
P (0.7500, 0.7928, 0.2072)
P (0.2500, 0.2072, 0.7928)
Ce (0.5000, 0.0000, 0.0000)
Ce (0.0000, 0.0000, 0.0000)
Pr (0.2500, 0.7055, 0.2945)
Pr (0.7500, 0.2945, 0.7055)

Calculated values
symmetry = Cmcm, No. 63
E = -35.52 eV/cell
crystal system = orthorhombic
ΔH_f (0 K) = -0.55 eV/atom

=====

The following is a PBE-GGA calculation of CePrP2 after structural relaxation, from the Alexandria database.

a b c (Å): 4.0729 4.0729 7.5376
angles (deg): 74.33 74.33 60.00
Fractional positions:
P (0.0843, 0.0843, 0.7471)
P (0.2482, 0.2482, 0.2553)
Pr (0.6699, 0.6699, 0.9903)
Ce (0.4975, 0.4975, 0.5074)

Calculated values
E above lowest polymorph = 189.2 meV/atom
symmetry = R3m, No. 160
E = -26.84 eV/cell
crystal system = trigonal
ΔH_f (0 K) = -1.33 eV/atom

=====

The following is a PBE-GGA calculation of CePr2P after structural relaxation, from the Alexandria database.

a b c (Å): 3.9396 3.9396 9.7678
angles (deg): 78.37 78.37 60.00
Fractional positions:
Ce (0.5000, 0.5000, 0.5000)
Pr (0.2725, 0.2725, 0.1826)
Pr (0.7275, 0.7275, 0.8174)
P (0.0000, 0.0000, 0.0000)

Calculated values
symmetry = R-3m, No. 166
E = -23.08 eV/cell
crystal system = trigonal
ΔH_f (0 K) = -0.54 eV/atom

=====

The following is a PBE-GGA calculation of Ce3Pr2P4 after structural relaxation, from the Alexandria database.

a b c (Å): 4.0874 7.1185 9.2167
angles (deg): 75.22 77.19 73.32
Fractional positions:
Ce (0.2032, 0.4003, 0.1934)
Ce (0.7968, 0.5997, 0.8066)
Ce (0.0000, 0.0000, 0.0000)
P (0.7979, 0.1069, 0.2972)
P (0.2021, 0.8931, 0.7028)
P (0.6020, 0.6987, 0.0973)
P (0.3980, 0.3013, 0.9027)
Pr (0.3971, 0.8111, 0.3946)
Pr (0.6029, 0.1889, 0.6054)

Calculated values
symmetry = C2/m, No. 12
E = -60.71 eV/cell
crystal system = monoclinic
ΔH_f (0 K) = -1.30 eV/atom

=====

The following is a PBE-GGA calculation of Ce3Pr2PuP6 after structural relaxation, from the Alexandria database.

a b c (Å): 4.1138 8.2231 9.1962
angles (deg): 102.88 102.92 90.00
Fractional positions:
P (0.3344, 0.9239, 0.6688)
P (0.9973, 0.2442, 0.9946)
P (0.0027, 0.7558, 0.0054)
P (0.6656, 0.0761, 0.3312)
P (0.6646, 0.5903, 0.3291)
P (0.3354, 0.4097, 0.6709)
Pu (0.5000, 0.0000, 0.0000)
Ce (0.8329, 0.1652, 0.6658)
Ce (0.1671, 0.8348, 0.3342)
Ce (0.5000, 0.5000, 0.0000)
Pr (0.1658, 0.3329, 0.3317)
Pr (0.8342, 0.6671, 0.6683)

Calculated values
symmetry = C2/m, No. 12
E = -91.50 eV/cell
crystal system = monoclinic
ΔH_f (0 K) = -1.45 eV/atom

=====

The following is a PBE-GGA calculation of CePr3Pu2P6 after structural relaxation, from the Alexandria database.

a b c (Å): 7.1263 7.1263 7.1246
angles (deg): 99.60 99.60 119.99
Fractional positions:
P (0.5849, 0.9216, 0.7651)
P (0.0784, 0.4151, 0.2349)
P (0.9216, 0.5849, 0.7651)
P (0.7413, 0.7413, 0.2346)
P (0.2587, 0.2587, 0.7654)
P (0.4151, 0.0784, 0.2349)
Pr (0.5000, 0.5000, 0.5000)
Pr (0.1660, 0.8340, 0.5000)
Pr (0.8340, 0.1660, 0.5000)
Ce (0.0000, 0.0000, 0.0000)
Pu (0.6668, 0.3332, 0.0000)
Pu (0.3332, 0.6668, 0.0000)

Calculated values
symmetry = C2/m, No. 12
E = -98.03 eV/cell
crystal system = monoclinic
ΔH_f (0 K) = -1.39 eV/atom

=====

The following is a PBE-GGA calculation of CePr2PuP4 after structural relaxation, from the Alexandria database.

a b c (Å): 4.1226 7.1346 7.1452
angles (deg): 109.52 90.00 90.00
Fractional positions:
Pr (0.0000, 0.5000, 0.5000)
Pr (0.5000, 0.0000, 0.5000)
P (0.5000, 0.2422, 0.2349)
P (0.5000, 0.7578, 0.7651)
P (0.0000, 0.7474, 0.2375)
P (0.0000, 0.2526, 0.7625)
Ce (0.5000, 0.5000, 0.0000)
Pu (0.0000, 0.0000, 0.0000)

Calculated values
symmetry = P2/m, No. 10
E = -62.81 eV/cell
crystal system = monoclinic
ΔH_f (0 K) = -1.42 eV/atom

=====

The following is a PBE-GGA calculation of Ce3PrPu2P6 after structural relaxation, from the Alexandria database.

a b c (Å): 7.0702 7.0702 7.0563
angles (deg): 99.63 99.63 120.00
Fractional positions:
P (0.0834, 0.4257, 0.2496)
P (0.9166, 0.5743, 0.7504)
P (0.2599, 0.2599, 0.7519)
P (0.7401, 0.7401, 0.2481)
P (0.5743, 0.9166, 0.7504)
P (0.4257, 0.0834, 0.2496)
Ce (0.8352, 0.1648, 0.5000)
Ce (0.1648, 0.8352, 0.5000)
Ce (0.5000, 0.5000, 0.5000)
Pu (0.6671, 0.3329, 0.0000)
Pu (0.3329, 0.6671, 0.0000)
Pr (0.0000, 0.0000, 0.0000)

Calculated values
symmetry = C2/m, No. 12
E = -100.31 eV/cell
crystal system = monoclinic
ΔH_f (0 K) = -1.38 eV/atom

=====

The following is a PBE-GGA calculation of CePr2P3Rh12 after structural relaxation, from the Alexandria database.

a b c (Å): 7.2350 7.2350 7.2350
angles (deg): 71.15 71.15 71.15
Fractional positions:
Rh (0.6214, 0.1472, 0.1472)
Rh (0.6687, 0.6687, 0.0900)
Rh (0.6687, 0.0900, 0.6687)
Rh (0.0900, 0.6687, 0.6687)
Rh (0.3786, 0.8528, 0.8528)
Rh (0.9100, 0.3313, 0.3313)
Rh (0.3313, 0.9100, 0.3313)
Rh (0.1472, 0.1472, 0.6214)
Rh (0.8528, 0.3786, 0.8528)
Rh (0.3313, 0.3313, 0.9100)
Rh (0.8528, 0.8528, 0.3786)
Rh (0.1472, 0.6214, 0.1472)
P (0.5000, 0.0000, 0.0000)
P (0.0000, 0.5000, 0.0000)
P (0.0000, 0.0000, 0.5000)
Ce (0.0000, 0.0000, 0.0000)
Pr (0.6019, 0.6019, 0.6019)
Pr (0.3981, 0.3981, 0.3981)

Calculated values
symmetry = R-3m, No. 166
E = -126.30 eV/cell
crystal system = trigonal
ΔH_f (0 K) = -0.35 eV/atom

=====

The highest E belongs to which entry?
CePr2P

=====

What is the formula in the seventh record?
Ce3Pr2P4